Arrangement A

Material: La2EuPb
Method: DFT, PBE-GGA
State: relaxed

Unit cell a=4.371 b=4.371 c=7.257 alpha=90.00 beta=90.00 gamma=90.00
Element x y z (fractional)
La 0.000 0.000 0.218
La 0.000 0.000 0.782
Eu 0.500 0.500 0.500
Pb 0.500 0.500 0.000

Calculated values
The magnetic moment comes out at 7.9 μB/cell. As for the space-group type: P4/mmm, No. 123.

Arrangement B

Material: La2EuPb
Method: DFT, PBE-GGA
State: relaxed

Unit cell a=12.937 b=12.937 c=12.937 alpha=16.44 beta=16.44 gamma=16.44
Element x y z (fractional)
La 0.086 0.086 0.086
La 0.914 0.914 0.914
Eu 0.500 0.500 0.500
Pb 0.000 0.000 0.000

Calculated values
The magnetic moment comes out at 7.6 μB/cell. As for the space-group type: R-3m, No. 166.

Which of them is most stable? Easy: arrangement A.

Arrangement A

Material: LaEuPd
Method: DFT, PBE-GGA
State: relaxed

Unit cell a=4.799 b=4.799 c=4.428 alpha=90.00 beta=90.00 gamma=120.00
Element x y z (fractional)
La 0.000 0.000 0.000
Eu 0.333 0.667 0.543
Pd 0.667 0.333 0.258

Calculated values
The magnetic moment comes out at 7.4 μB/cell. As for the space-group type: P3m1, No. 156.

Arrangement B

Material: LaEuPd
Method: DFT, PBE-GGA
State: relaxed

Unit cell a=5.108 b=5.108 c=5.108 alpha=60.00 beta=60.00 gamma=60.00
Element x y z (fractional)
La 0.000 0.000 0.000
Eu 0.500 0.500 0.500
Pd 0.250 0.250 0.250

Calculated values
The magnetic moment comes out at 7.5 μB/cell. As for the space-group type: F-43m, No. 216.

Arrangement C

Material: LaEuPd
Method: DFT, PBE-GGA
State: relaxed

Unit cell a=7.083 b=7.083 c=7.083 alpha=149.55 beta=149.55 gamma=43.60
Element x y z (fractional)
La 0.000 0.000 0.000
Eu 0.737 0.737 0.000
Pd 0.381 0.381 0.000

Calculated values
The magnetic moment comes out at 7.5 μB/cell. As for the space-group type: I4mm, No. 107.

Which of them is most stable? Easy: arrangement C.

Arrangement A

Material: La2EuPd
Method: DFT, PBE-GGA
State: relaxed

Unit cell a=3.775 b=3.775 c=9.084 alpha=90.00 beta=90.00 gamma=90.00
Element x y z (fractional)
La 0.000 0.000 0.188
La 0.000 0.000 0.812
Eu 0.500 0.500 0.500
Pd 0.500 0.500 0.000

Calculated values
The magnetic moment comes out at 8.5 μB/cell. As for the space-group type: P4/mmm, No. 123.

Arrangement B

Material: La2EuPd
Method: DFT, PBE-GGA
State: relaxed

Unit cell a=10.143 b=10.143 c=10.143 alpha=23.32 beta=23.32 gamma=23.32
Element x y z (fractional)
La 0.226 0.226 0.226
La 0.774 0.774 0.774
Eu 0.000 0.000 0.000
Pd 0.500 0.500 0.500

Calculated values
The magnetic moment comes out at 8.2 μB/cell. As for the space-group type: R-3m, No. 166.

Which of them is most stable? Easy: arrangement A.

Arrangement A

Material: LaPmEu2
Method: DFT, PBE-GGA
State: relaxed

Unit cell a=5.996 b=5.996 c=5.996 alpha=60.00 beta=60.00 gamma=60.00
Element x y z (fractional)
La 0.000 0.000 0.000
Pm 0.500 0.500 0.500
Eu 0.250 0.250 0.250
Eu 0.750 0.750 0.750

Calculated values
The magnetic moment comes out at 14.9 μB/cell. As for the space-group type: Fm-3m, No. 225.

Arrangement B

Material: LaPmEu2
Method: DFT, PBE-GGA
State: relaxed

Unit cell a=12.631 b=12.631 c=12.631 alpha=17.07 beta=17.07 gamma=17.07
Element x y z (fractional)
La 0.000 0.000 0.000
Pm 0.500 0.500 0.500
Eu 0.249 0.249 0.249
Eu 0.751 0.751 0.751

Calculated values
The magnetic moment comes out at 15.2 μB/cell. As for the space-group type: R-3m, No. 166.

Arrangement C

Material: LaPmEu2
Method: DFT, PBE-GGA
State: relaxed

Unit cell a=5.303 b=5.303 c=5.398 alpha=90.00 beta=90.00 gamma=90.00
Element x y z (fractional)
La 0.000 0.000 0.000
Pm 0.500 0.500 0.000
Eu 0.000 0.500 0.500
Eu 0.500 0.000 0.500

Calculated values
The magnetic moment comes out at 15.0 μB/cell. As for the space-group type: P4/mmm, No. 123.

Which of them is most stable? Easy: arrangement B.

Arrangement A

Material: LaEuPt2
Method: DFT, PBE-GGA
State: relaxed

Unit cell a=5.125 b=5.125 c=5.125 alpha=60.00 beta=60.00 gamma=60.00
Element x y z (fractional)
La 0.000 0.000 0.000
Eu 0.500 0.500 0.500
Pt 0.250 0.250 0.250
Pt 0.750 0.750 0.750

Calculated values
The magnetic moment comes out at 7.1 μB/cell. As for the space-group type: Fm-3m, No. 225.

Arrangement B

Material: LaEuPt2
Method: DFT, PBE-GGA
State: relaxed

Unit cell a=7.369 b=7.369 c=7.369 alpha=33.34 beta=33.34 gamma=33.34
Element x y z (fractional)
La 0.000 0.000 0.000
Eu 0.500 0.500 0.500
Pt 0.252 0.252 0.252
Pt 0.748 0.748 0.748

Calculated values
The magnetic moment comes out at 6.9 μB/cell. As for the space-group type: R-3m, No. 166.

Which of them is most stable? Easy: arrangement A.

Arrangement A

Material: LaEuRh
Method: DFT, PBE-GGA
State: relaxed

Unit cell a=4.155 b=4.155 c=6.661 alpha=90.00 beta=90.00 gamma=120.00
Element x y z (fractional)
La 0.000 0.000 0.000
Eu 0.333 0.667 0.475
Rh 0.667 0.333 0.215

Calculated values
The magnetic moment comes out at 7.1 μB/cell. As for the space-group type: P3m1, No. 156.

Arrangement B

Material: LaEuRh
Method: DFT, PBE-GGA
State: relaxed

Unit cell a=7.251 b=7.251 c=7.251 alpha=151.22 beta=151.22 gamma=41.16
Element x y z (fractional)
La 0.000 0.000 0.000
Eu 0.749 0.749 0.000
Rh 0.388 0.388 0.000

Calculated values
The magnetic moment comes out at 7.1 μB/cell. As for the space-group type: I4mm, No. 107.

Which of them is most stable? Easy: arrangement A.